1.
Material: Ce2UN
Method: DFT, PBE
State: optimized geometry

Space group = No. 123
Total magnetization = 2.4 μB/cell
Distance to the lowest polymorph of the same formula = 0 meV/atom
E_form (uncorrected) = -0.215 eV/atom

Cell lengths 3.002, 3.002, 8.402 Å; angles 90.00, 90.00, 90.00 degrees
Last column: magnetic moment on the atom in μB.
Atoms (fractional coordinates):
N 0.500 0.500 0.500  0.01
Ce 0.000 0.000 0.677  0.23
Ce 0.000 0.000 0.323  0.23
U 0.500 0.500 0.000  1.71

2.
Material: CeU4N5
Method: DFT, PBE
State: optimized geometry

Space group = No. 166
Total magnetization = 5.3 μB/cell
E_form (uncorrected) = -1.367 eV/atom

Cell lengths 14.315, 14.315, 14.315 Å; angles 13.89, 13.89, 13.89 degrees
Last column: magnetic moment on the atom in μB.
Atoms (fractional coordinates):
N 0.899 0.899 0.899  -0.07
N 0.704 0.704 0.704  -0.04
N 0.500 0.500 0.500  -0.08
N 0.296 0.296 0.296  -0.04
N 0.101 0.101 0.101  -0.07
U 0.402 0.402 0.402  1.17
U 0.800 0.800 0.800  1.39
U 0.200 0.200 0.200  1.39
U 0.598 0.598 0.598  1.17
Ce 0.000 0.000 0.000  0.03